# 1
A plane-wave DFT calculation with PBE was carried out for a relaxed ErMg2In4 crystal.

Computed properties:
- Size of the total moment: 0.000 μB per formula unit
- ρ: 6.1 g/cm³
- Space group: I4/mmm, No. 139
- Formation enthalpy at 0 K: -187 meV/atom
- E_tot: -2.859 eV/atom

Cell lengths 6.2999, 6.2999, 6.2999 Å; angles 95.63, 116.81, 116.81 degrees
Element x y z (fractional)
In 0.5000 0.5000 0.5000
Mg 0.5000 0.5000 0.0000
Er 0.0000 0.0000 0.0000
Mg 0.5000 0.0000 0.5000
In 0.0000 0.5000 0.0000
In 0.5000 0.0000 0.0000
In 0.0000 0.0000 0.5000



# 2
A plane-wave DFT calculation with PBE was carried out for a relaxed ErMg3In crystal.

Computed properties:
- Size of the total moment: 0.000 μB per formula unit
- ρ: 4.6 g/cm³
- ΔE to the lowest computed polymorph: 0.0107 eV per atom
- Space group: P-1, No. 2
- Formation enthalpy at 0 K: -52 meV/atom
- E_tot: -2.469 eV/atom

Cell lengths 4.9555, 6.1244, 14.7136 Å; angles 85.70, 134.54, 118.47 degrees
Element x y z (fractional)
Mg 0.0000 0.0000 0.0000
Mg 0.0881 0.2840 0.4712
Mg 0.0473 0.7182 0.3607
In 0.2654 0.7723 0.2234
In 0.7346 0.2277 0.7766
Mg 0.0000 0.5000 0.0000
Mg 0.9119 0.7160 0.5288
Er 0.9673 0.8185 0.7751
Mg 0.9527 0.2818 0.6393
Er 0.0327 0.1815 0.2249



# 3
A plane-wave DFT calculation with PBE was carried out for a relaxed Er3Mg2In3 crystal.

Computed properties:
- Size of the total moment: 0.382 μB per formula unit
- ρ: 7.1 g/cm³
- Space group: Cmcm, No. 63
- Formation enthalpy at 0 K: -309 meV/atom
- E_tot: -3.445 eV/atom

Cell lengths 4.6985, 6.2978, 15.1828 Å; angles 90.00, 90.00, 111.90 degrees
Element x y z (fractional)
Er 0.0670 0.1340 0.6185
Mg 0.2247 0.4494 0.0889
In 0.6361 0.2721 0.7500
Mg 0.7753 0.5506 0.9111
In 0.3993 0.7986 0.9483
In 0.3993 0.7986 0.5517
In 0.3639 0.7279 0.2500
Er 0.9330 0.8660 0.1185
Er 0.0670 0.1340 0.8815
Mg 0.7753 0.5506 0.5889
Er 0.9330 0.8660 0.3815
Er 0.6595 0.3189 0.2500
Er 0.3405 0.6811 0.7500
In 0.6007 0.2014 0.4483
In 0.6007 0.2014 0.0517
Mg 0.2247 0.4494 0.4111



# 4
A plane-wave DFT calculation with PBE was carried out for a relaxed Er6MgIn6 crystal.

Computed properties:
- Size of the total moment: 0.000 μB per formula unit
- ρ: 7.9 g/cm³
- Space group: P6/mmm, No. 191
- Formation enthalpy at 0 K: -257 meV/atom
- E_tot: -3.749 eV/atom

Cell lengths 6.2877, 6.2877, 10.4784 Å; angles 90.00, 90.00, 120.00 degrees
Element x y z (fractional)
In 0.0000 0.5000 0.2485
In 0.5000 0.5000 0.2485
In 0.5000 0.0000 0.7515
In 0.5000 0.5000 0.7515
Er 0.6667 0.3333 0.5000
Er 0.0000 0.0000 0.6731
Er 0.3333 0.6667 0.0000
In 0.5000 0.0000 0.2485
In 0.0000 0.5000 0.7515
Mg 0.0000 0.0000 0.0000
Er 0.6667 0.3333 0.0000
Er 0.0000 0.0000 0.3269
Er 0.3333 0.6667 0.5000



# 5
A plane-wave DFT calculation with PBE was carried out for a relaxed ErMg7In4 crystal.

Computed properties:
- Size of the total moment: 0.000 μB per formula unit
- ρ: 4.3 g/cm³
- Space group: C2/m, No. 12
- Formation enthalpy at 0 K: 79 meV/atom
- E_tot: -2.144 eV/atom

Cell lengths 5.6167, 9.1402, 6.9051 Å; angles 84.29, 66.00, 72.11 degrees
Element x y z (fractional)
In 0.2879 0.3221 0.1021
In 0.4272 0.7759 0.3697
Er 0.0000 0.0000 0.0000
Mg 0.6566 0.4225 0.2644
In 0.5728 0.2241 0.6303
Mg 0.9287 0.3541 0.7885
In 0.7121 0.6779 0.8979
Mg 0.5000 0.0000 0.0000
Mg 0.0713 0.6459 0.2115
Mg 0.7820 0.8955 0.5405
Mg 0.2180 0.1045 0.4595
Mg 0.3434 0.5775 0.7356



# 6
A plane-wave DFT calculation with PBE was carried out for a relaxed Er5Mg2In2 crystal.

Computed properties:
- Size of the total moment: 0.000 μB per formula unit
- ρ: 7.2 g/cm³
- Space group: Cmce, No. 64
- Formation enthalpy at 0 K: -88 meV/atom
- E_tot: -3.586 eV/atom

Cell lengths 7.2880, 8.6118, 9.2787 Å; angles 117.65, 90.00, 90.00 degrees
Element x y z (fractional)
Er 0.8355 0.8335 0.2911
Er 0.8355 0.5423 0.7089
Er 0.6645 0.0423 0.7089
Er 0.3355 0.9577 0.2911
Mg 0.8884 0.3634 0.0000
Er 0.0000 0.0000 0.0000
Er 0.1645 0.4577 0.2911
Er 0.6645 0.3335 0.2911
Mg 0.1116 0.6366 0.0000
Er 0.1645 0.1665 0.7089
In 0.0000 0.2077 0.4155
In 0.5000 0.2923 0.5845
In 0.5000 0.7077 0.4155
In 0.0000 0.7923 0.5845
Er 0.5000 0.5000 0.0000
Mg 0.3883 0.1366 0.0000
Er 0.3355 0.6665 0.7089
Mg 0.6116 0.8634 0.0000



# 7
A plane-wave DFT calculation with PBE was carried out for a relaxed Er3MgIn2 crystal.

Computed properties:
- Size of the total moment: 0.000 μB per formula unit
- ρ: 8.1 g/cm³
- ΔE to the lowest computed polymorph: 0.0000 eV per atom
- Space group: P-3m1, No. 164
- Formation enthalpy at 0 K: -353 meV/atom
- E_tot: -3.813 eV/atom

Cell lengths 5.2713, 5.2713, 12.9008 Å; angles 90.00, 90.00, 120.00 degrees
Element x y z (fractional)
Er 0.0000 0.0000 0.2484
Er 0.0000 0.0000 0.7516
In 0.0000 0.0000 0.0000
In 0.3333 0.6667 0.1758
Er 0.6667 0.3333 0.5810
In 0.6667 0.3333 0.8242
Mg 0.3333 0.6667 0.6686
In 0.0000 0.0000 0.5000
Er 0.3333 0.6667 0.9194
Mg 0.6667 0.3333 0.3314
Er 0.6667 0.3333 0.0806
Er 0.3333 0.6667 0.4190



# 8
A plane-wave DFT calculation with PBE was carried out for a relaxed Er2MgIn9 crystal.

Computed properties:
- Size of the total moment: 0.000 μB per formula unit
- ρ: 7.8 g/cm³
- Space group: P4/mmm, No. 123
- Formation enthalpy at 0 K: -255 meV/atom
- E_tot: -3.202 eV/atom

Cell lengths 4.6334, 4.6334, 13.8411 Å; angles 90.00, 90.00, 90.00 degrees
Element x y z (fractional)
Er 0.0000 0.0000 0.6650
In 0.0000 0.5000 0.1629
Mg 0.0000 0.0000 0.0000
Er 0.0000 0.0000 0.3350
In 0.5000 0.0000 0.1629
In 0.0000 0.5000 0.8371
In 0.5000 0.0000 0.5000
In 0.5000 0.0000 0.8371
In 0.5000 0.5000 0.6669
In 0.0000 0.5000 0.5000
In 0.5000 0.5000 0.3331
In 0.5000 0.5000 0.0000



# 9
A plane-wave DFT calculation with PBE was carried out for a relaxed Er3Mg2In2 crystal.

Computed properties:
- Size of the total moment: 0.000 μB per formula unit
- ρ: 7.1 g/cm³
- Space group: Immm, No. 71
- Formation enthalpy at 0 K: -274 meV/atom
- E_tot: -3.467 eV/atom

Cell lengths 4.8681, 3.5979, 10.8640 Å; angles 99.53, 102.95, 90.00 degrees
Element x y z (fractional)
Mg 0.4317 0.4317 0.8635
Mg 0.5683 0.5683 0.1365
Er 0.7037 0.2037 0.4074
In 0.8561 0.3561 0.7121
Er 0.0000 0.0000 0.0000
In 0.1439 0.6439 0.2879
Er 0.2963 0.7963 0.5926



# 10
A plane-wave DFT calculation with PBE was carried out for a relaxed Er6Mg5In crystal.

Computed properties:
- Size of the total moment: 0.000 μB per formula unit
- ρ: 6.5 g/cm³
- Space group: Cmmm, No. 65
- Formation enthalpy at 0 K: -150 meV/atom
- E_tot: -3.324 eV/atom

Cell lengths 5.3078, 7.4960, 8.4129 Å; angles 90.00, 71.61, 90.00 degrees
Element x y z (fractional)
Er 0.5000 0.7498 0.0000
In 0.0000 0.0000 0.0000
Er 0.5000 0.2502 0.0000
Er 0.8336 0.7493 0.3328
Mg 0.6697 0.0000 0.6605
Er 0.1664 0.7493 0.6672
Mg 0.3330 0.5000 0.3340
Er 0.8336 0.2507 0.3328
Mg 0.3303 0.0000 0.3395
Mg 0.0000 0.5000 0.0000
Mg 0.6670 0.5000 0.6660
Er 0.1664 0.2507 0.6672



# 11
A plane-wave DFT calculation with PBE was carried out for a relaxed Er2Mg2In3 crystal.

Computed properties:
- Size of the total moment: 0.000 μB per formula unit
- ρ: 6.5 g/cm³
- Space group: P-1, No. 2
- Formation enthalpy at 0 K: -211 meV/atom
- E_tot: -3.144 eV/atom

Cell lengths 5.0332, 5.0296, 8.9231 Å; angles 90.19, 105.66, 119.98 degrees
Element x y z (fractional)
Er 0.2412 0.6200 0.8556
In 0.0000 0.0000 0.0000
In 0.4971 0.2471 0.7330
Mg 0.7502 0.8738 0.6132
Mg 0.2498 0.1262 0.3868
Er 0.7588 0.3800 0.1444
In 0.5029 0.7529 0.2670



# 12
A plane-wave DFT calculation with PBE was carried out for a relaxed Er5MgIn3 crystal.

Computed properties:
- Size of the total moment: 0.000 μB per formula unit
- ρ: 8.3 g/cm³
- Space group: P6_3/mcm, No. 193
- Formation enthalpy at 0 K: -363 meV/atom
- E_tot: -3.988 eV/atom

Cell lengths 6.5636, 9.2095, 9.2095 Å; angles 120.00, 90.00, 90.00 degrees
Element x y z (fractional)
Er 0.5000 0.6666 0.3332
Er 0.2500 0.3060 0.3060
Er 0.7500 0.6940 0.6940
Mg 0.0000 0.0000 0.0000
Er 0.0000 0.6666 0.3332
In 0.2500 0.3570 0.0000
Er 0.2500 0.0000 0.6940
In 0.2500 0.0000 0.3570
Er 0.0000 0.3334 0.6668
In 0.2500 0.6430 0.6430
In 0.7500 0.0000 0.6430
Er 0.5000 0.3334 0.6668
In 0.7500 0.6430 0.0000
Er 0.2500 0.6941 0.0000
Er 0.7500 0.0000 0.3060
In 0.7500 0.3570 0.3570
Er 0.7500 0.3059 0.0000
Mg 0.5000 0.0000 0.0000



# 13
A plane-wave DFT calculation with PBE was carried out for a relaxed Er2MgIn8 crystal.

Computed properties:
- Size of the total moment: 0.000 μB per formula unit
- ρ: 7.6 g/cm³
- Space group: P4/mmm, No. 123
- Formation enthalpy at 0 K: -247 meV/atom
- E_tot: -3.214 eV/atom

Cell lengths 4.8506, 4.8506, 11.9193 Å; angles 90.00, 90.00, 90.00 degrees
Element x y z (fractional)
In 0.5000 0.5000 0.6851
In 0.0000 0.5000 0.8637
Er 0.0000 0.0000 0.3149
Er 0.0000 0.0000 0.6851
In 0.5000 0.5000 0.3149
In 0.0000 0.5000 0.5000
In 0.5000 0.0000 0.8637
Mg 0.0000 0.0000 0.0000
In 0.5000 0.0000 0.5000
In 0.0000 0.5000 0.1363
In 0.5000 0.0000 0.1363



# 14
A plane-wave DFT calculation with PBE was carried out for a relaxed Er3Mg2In4 crystal.

Computed properties:
- Size of the total moment: 0.000 μB per formula unit
- ρ: 7.5 g/cm³
- Space group: C2/m, No. 12
- Formation enthalpy at 0 K: -360 meV/atom
- E_tot: -3.452 eV/atom

Cell lengths 4.9527, 6.0811, 9.3167 Å; angles 116.61, 90.00, 114.03 degrees
Element x y z (fractional)
In 0.0577 0.1153 0.3866
Mg 0.3831 0.7663 0.7138
Er 0.6630 0.3259 0.6678
Er 0.0000 0.0000 0.0000
In 0.9423 0.8847 0.6134
In 0.7164 0.4327 0.0578
Er 0.3370 0.6741 0.3322
Mg 0.6169 0.2337 0.2862
In 0.2836 0.5673 0.9422



# 15
A plane-wave DFT calculation with PBE was carried out for a relaxed Er5MgIn4 crystal.

Computed properties:
- Size of the total moment: 0.000 μB per formula unit
- ρ: 8.4 g/cm³
- Space group: P4/mmm, No. 123
- Formation enthalpy at 0 K: -377 meV/atom
- E_tot: -3.914 eV/atom

Cell lengths 3.7348, 3.7348, 18.6422 Å; angles 90.00, 90.00, 90.00 degrees
Element x y z (fractional)
Er 0.5000 0.5000 0.5000
Er 0.5000 0.5000 0.7010
In 0.0000 0.0000 0.8035
In 0.0000 0.0000 0.1965
In 0.0000 0.0000 0.6003
In 0.0000 0.0000 0.3997
Er 0.5000 0.5000 0.2990
Er 0.5000 0.5000 0.9017
Mg 0.0000 0.0000 0.0000
Er 0.5000 0.5000 0.0983



# 16
A plane-wave DFT calculation with PBE was carried out for a relaxed ErMgIn crystal.

Computed properties:
- Size of the total moment: 0.000 μB per formula unit
- ρ: 6.8 g/cm³
- Space group: P-62m, No. 189
- Formation enthalpy at 0 K: -373 meV/atom
- E_tot: -3.338 eV/atom

Cell lengths 4.6703, 7.4699, 7.4699 Å; angles 120.00, 90.00, 90.00 degrees
Element x y z (fractional)
Mg 0.5000 0.0000 0.2415
In 0.5000 0.3333 0.6667
Mg 0.5000 0.7585 0.7585
Mg 0.5000 0.2415 0.0000
Er 0.0000 0.4362 0.4362
Er 0.0000 0.0000 0.5638
In 0.5000 0.6667 0.3333
Er 0.0000 0.5638 0.0000
In 0.0000 0.0000 0.0000



# 17
A plane-wave DFT calculation with PBE was carried out for a relaxed ErMg2In9 crystal.

Computed properties:
- Size of the total moment: 0.000 μB per formula unit
- ρ: 7.0 g/cm³
- Space group: P4/mmm, No. 123
- Formation enthalpy at 0 K: -138 meV/atom
- E_tot: -2.838 eV/atom

Cell lengths 4.6340, 4.6340, 13.8827 Å; angles 90.00, 90.00, 90.00 degrees
Element x y z (fractional)
In 0.5000 0.5000 0.0000
In 0.5000 0.5000 0.6671
In 0.5000 0.0000 0.8304
In 0.5000 0.0000 0.1696
In 0.0000 0.5000 0.1696
In 0.5000 0.5000 0.3329
In 0.5000 0.0000 0.5000
Mg 0.0000 0.0000 0.6694
In 0.0000 0.5000 0.5000
Mg 0.0000 0.0000 0.3306
Er 0.0000 0.0000 0.0000
In 0.0000 0.5000 0.8304



# 18
A plane-wave DFT calculation with PBE was carried out for a relaxed Er5MgIn2 crystal.

Computed properties:
- Size of the total moment: 0.000 μB per formula unit
- ρ: 8.2 g/cm³
- Space group: Cmcm, No. 63
- Formation enthalpy at 0 K: -164 meV/atom
- E_tot: -3.900 eV/atom

Cell lengths 4.6736, 6.0285, 16.9484 Å; angles 90.00, 90.00, 112.81 degrees
Element x y z (fractional)
Er 0.6530 0.3060 0.9618
Er 0.0430 0.0859 0.4016
In 0.7572 0.5144 0.3477
Er 0.3470 0.6940 0.0382
Er 0.9570 0.9141 0.5984
Mg 0.1860 0.3720 0.2500
In 0.2428 0.4856 0.8477
In 0.2428 0.4856 0.6523
Er 0.0430 0.0859 0.0984
In 0.7572 0.5144 0.1523
Er 0.9570 0.9141 0.9016
Er 0.6530 0.3060 0.5382
Er 0.3470 0.6940 0.4618
Er 0.5326 0.0651 0.7500
Mg 0.8140 0.6280 0.7500
Er 0.4674 0.9349 0.2500



# 19
A plane-wave DFT calculation with PBE was carried out for a relaxed Er5MgIn6 crystal.

Computed properties:
- Size of the total moment: 0.000 μB per formula unit
- ρ: 8.4 g/cm³
- Space group: Immm, No. 71
- Formation enthalpy at 0 K: -391 meV/atom
- E_tot: -3.794 eV/atom

Cell lengths 5.2439, 7.3972, 9.1039 Å; angles 113.97, 106.74, 90.00 degrees
Element x y z (fractional)
In 0.1632 0.4083 0.3265
Er 0.3332 0.3332 0.6665
In 0.1632 0.9182 0.3265
In 0.8368 0.5917 0.6735
Er 0.0000 0.5000 0.0000
In 0.5000 0.2430 0.0000
In 0.8368 0.0818 0.6735
Er 0.3351 0.8351 0.6702
Er 0.6649 0.1649 0.3298
In 0.5000 0.7570 0.0000
Mg 0.0000 0.0000 0.0000
Er 0.6668 0.6668 0.3335



# 20
A plane-wave DFT calculation with PBE was carried out for a relaxed Er4Mg2In crystal.

Computed properties:
- Size of the total moment: 0.002 μB per formula unit
- ρ: 7.0 g/cm³
- ΔE to the lowest computed polymorph: 0.0000 eV per atom
- Space group: R-3m, No. 166
- Formation enthalpy at 0 K: 13 meV/atom
- E_tot: -3.441 eV/atom

Cell lengths 5.2303, 5.2303, 8.9194 Å; angles 72.95, 72.95, 60.00 degrees
Element x y z (fractional)
Mg 0.7443 0.7443 0.7671
Er 0.3848 0.3848 0.8457
Er 0.1298 0.1298 0.6105
Mg 0.2557 0.2557 0.2329
Er 0.8702 0.8702 0.3895
Er 0.6152 0.6152 0.1543
In 0.0000 0.0000 0.0000